Entry 1:
VASP calculation (PBE) on VCrAu after structural relaxation.

Lattice parameters (Å, degrees): 2.832 4.347 10.787 125.61 82.46 70.99
Positions (direct):
1 V 0.783 0.746 0.688
2 Au 0.221 0.451 0.106
3 Cr 0.739 0.084 0.438
4 Cr 0.261 0.916 0.562
5 V 0.217 0.254 0.312
6 Au 0.779 0.549 0.894

Summary:
The space group is No. 12. The calculated formation energy is 0.26 eV/atom.

***

Entry 2:
VASP calculation (PBE) on VCrAu after structural relaxation.

Lattice parameters (Å, degrees): 2.663 4.320 4.320 120.00 90.00 90.00
Site moments in Bohr magnetons follow the coordinates.
Positions (direct):
1 Au 0.000 0.000 0.000  0.02
2 V 0.503 0.667 0.333  -0.34
3 Cr 0.497 0.333 0.667  0.79

Summary:
The space group is No. 156. The calculated formation energy is 0.31 eV/atom.

***

Entry 3:
VASP calculation (PBE) on VCrAu3 after structural relaxation.

Lattice parameters (Å, degrees): 4.895 4.895 4.895 90.00 90.00 90.00
Site moments in Bohr magnetons follow the coordinates.
Positions (direct):
1 Au 0.000 0.500 0.000  0.11
2 Cr 0.000 0.000 0.000  3.37
3 V 0.500 0.500 0.500  2.94
4 Au 0.500 0.000 0.000  0.11
5 Au 0.000 0.000 0.500  0.11

Summary:
The space group is No. 221. The calculated formation energy is 1.07 eV/atom.

***

Entry 4:
VASP calculation (PBE) on V2CrAu after structural relaxation.

Lattice parameters (Å, degrees): 4.327 4.327 4.327 60.00 60.00 60.00
Site moments in Bohr magnetons follow the coordinates.
Positions (direct):
1 V 0.250 0.250 0.250  0.77
2 Cr 0.000 0.000 0.000  -0.72
3 V 0.750 0.750 0.750  0.77
4 Au 0.500 0.500 0.500  0.07

Summary:
The space group is No. 225. The calculated formation energy is 0.20 eV/atom.

***

Entry 5:
VASP calculation (PBE) on V2CrAu after structural relaxation.

Lattice parameters (Å, degrees): 2.992 2.992 6.307 90.00 90.00 90.00
Positions (direct):
1 V 0.000 0.000 0.789
2 V 0.000 0.000 0.211
3 Au 0.500 0.500 0.500
4 Cr 0.500 0.500 0.000

Summary:
The space group is No. 123. The calculated formation energy is 0.01 eV/atom.

***

Entry 6:
VASP calculation (PBE) on VCrAu after structural relaxation.

Lattice parameters (Å, degrees): 4.548 2.918 6.656 90.00 97.75 90.00
Site moments in Bohr magnetons follow the coordinates.
Positions (direct):
1 Au 0.045 0.000 0.040  0.03
2 V 0.521 0.500 0.953  0.66
3 Cr 0.142 0.500 0.406  1.96
4 V 0.846 0.500 0.681  -0.33
5 Au 0.621 0.000 0.326  0.03
6 Cr 0.340 0.000 0.679  -0.80

Summary:
The space group is No. 6. The calculated formation energy is 0.13 eV/atom.

***

Calculated energy above the lowest structure with this stoichiometry, 0.231 0.278 0.075 0.191 0.000 0.096 eV/atom (same order as the records).
Calculated mass density, 10.735 11.569 9.821 10.172 10.317 11.377 g/cm3 (same order as the records).